Here is crystalline Ta3Ir2Ru at its relaxed geometry from Alexandria. Energies are from PBE.

Calculated values
* formation energy: -462.1 meV/atom
* SG: P4/mmm
* raw total energy: -10.888 eV per atom
* ρ: 17.66 g/cm³

a = 2.924 Å, b = 2.924 Å, c = 11.309 Å
α = 90.00°, β = 90.00°, γ = 90.00°
Fractional coordinates of all 6 atoms:
Ta 0.000 0.000 0.000
Ta 0.000 0.000 0.339
Ta 0.000 0.000 0.661
Ir 0.500 0.500 0.171
Ir 0.500 0.500 0.829
Ru 0.500 0.500 0.500

---

Here is crystalline TaIr3Ru at its relaxed geometry from Alexandria. Energies are from PBE.

Calculated values
* formation energy: 1847.4 meV/atom
* SG: Pm-3m
* raw total energy: -7.695 eV per atom
* ρ: 13.46 g/cm³

a = 4.732 Å, b = 4.732 Å, c = 4.732 Å
α = 90.00°, β = 90.00°, γ = 90.00°
Fractional coordinates of all 5 atoms:
Ta 0.000 0.000 0.000
Ir 0.000 0.000 0.500
Ir 0.000 0.500 0.000
Ir 0.500 0.000 0.000
Ru 0.500 0.500 0.500

---

Here is crystalline TaIrRu2 at its relaxed geometry from Alexandria. Energies are from PBE.

Calculated values
* formation energy: -206.7 meV/atom
* SG: Cmmm
* raw total energy: -10.023 eV per atom
* ρ: 15.91 g/cm³

a = 4.722 Å, b = 4.722 Å, c = 2.826 Å
α = 90.00°, β = 90.00°, γ = 107.66°
Fractional coordinates of all 4 atoms:
Ta 0.000 0.000 0.000
Ir 0.500 0.500 0.000
Ru 0.000 0.500 0.500
Ru 0.500 0.000 0.500

---

Here is crystalline TaIr2Ru at its relaxed geometry from Alexandria. Energies are from PBE.

Calculated values
* formation energy: 204.9 meV/atom
* SG: I-42d
* raw total energy: -9.508 eV per atom
* ρ: 16.70 g/cm³

a = 9.475 Å, b = 9.475 Å, c = 9.475 Å
α = 156.74°, β = 156.74°, γ = 33.13°
Fractional coordinates of all 8 atoms:
Ta 0.000 0.000 0.000
Ta 0.750 0.250 0.500
Ir 0.141 0.625 0.016
Ir 0.375 0.391 0.516
Ir 0.609 0.125 0.984
Ir 0.875 0.859 0.484
Ru 0.250 0.750 0.500
Ru 0.500 0.500 0.000

---

Number 1: offset from the most stable computed form 15 meV/atom. Number 2: offset from the most stable computed form 955 meV/atom. Number 3: offset from the most stable computed form 185 meV/atom. Number 4: offset from the most stable computed form 769 meV/atom.